1.
Entry from Alexandria: crystalline CuPb2 at its relaxed geometry (PBE).

Results
Raw total energy (eV/f.u.): -10.95
Formation enthalpy at 0 K (kJ/mol of atoms): 18

a b c (Å): 3.386 17.677 5.080
angles (deg): 90.00 90.00 90.00
Positions (direct):
1 Cu 0.000 0.061 0.250
2 Cu 0.000 0.939 0.750
3 Cu 0.500 0.439 0.750
4 Cu 0.500 0.561 0.250
5 Pb 0.000 0.301 0.750
6 Pb 0.000 0.427 0.250
7 Pb 0.000 0.573 0.750
8 Pb 0.000 0.699 0.250
9 Pb 0.500 0.073 0.750
10 Pb 0.500 0.199 0.250
11 Pb 0.500 0.801 0.750
12 Pb 0.500 0.927 0.250

=====

2.
Entry from Alexandria: crystalline Pm2CdGe4Pd3 at its relaxed geometry (PBE).

Results
Raw total energy (eV/f.u.): -51.50
Formation enthalpy at 0 K (kJ/mol of atoms): -68

a b c (Å): 4.285 4.285 10.822
angles (deg): 90.00 90.00 90.00
Positions (direct):
1 Pm 0.000 0.500 0.243
2 Pm 0.500 0.000 0.757
3 Cd 0.000 0.000 0.500
4 Ge 0.000 0.000 0.000
5 Ge 0.000 0.500 0.649
6 Ge 0.500 0.000 0.351
7 Ge 0.500 0.500 0.000
8 Pd 0.000 0.500 0.875
9 Pd 0.500 0.000 0.125
10 Pd 0.500 0.500 0.500

=====

3.
Entry from Alexandria: crystalline CaAsPdO5 at its relaxed geometry (PBE).

Results
Raw total energy (eV/f.u.): -48.32
Formation energy from raw total energies (kJ/mol of atoms): -141

a b c (Å): 6.088 6.088 6.918
angles (deg): 102.65 102.65 112.87
Positions (direct):
1 Ca 0.182 0.818 0.750
2 Ca 0.818 0.182 0.250
3 As 0.147 0.853 0.250
4 As 0.853 0.147 0.750
5 Pd 0.500 0.500 0.000
6 Pd 0.500 0.500 0.500
7 O 0.123 0.640 0.379
8 O 0.139 0.212 0.931
9 O 0.212 0.139 0.431
10 O 0.360 0.877 0.121
11 O 0.416 0.584 0.750
12 O 0.584 0.416 0.250
13 O 0.640 0.123 0.879
14 O 0.788 0.861 0.569
15 O 0.861 0.788 0.069
16 O 0.877 0.360 0.621

=====

4.
Entry from Alexandria: crystalline BeHg at its relaxed geometry (PBE).

Results
Raw total energy (eV/f.u.): -3.29
Polymorph energy (0 for the lowest one) (eV/f.u.): 0.145
Formation enthalpy at 0 K (kJ/mol of atoms): 35

a b c (Å): 7.443 7.443 4.130
angles (deg): 90.00 90.00 120.00
Positions (direct):
1 Be 0.122 0.561 0.250
2 Be 0.439 0.561 0.250
3 Be 0.439 0.878 0.250
4 Be 0.561 0.122 0.750
5 Be 0.561 0.439 0.750
6 Be 0.878 0.439 0.750
7 Hg 0.185 0.370 0.750
8 Hg 0.185 0.815 0.750
9 Hg 0.370 0.185 0.250
10 Hg 0.630 0.815 0.750
11 Hg 0.815 0.185 0.250
12 Hg 0.815 0.630 0.250

=====

5.
Entry from Alexandria: crystalline Cs2LiBi at its relaxed geometry (PBE).

Results
Raw total energy (eV/f.u.): -9.14
Polymorph energy (0 for the lowest one) (eV/f.u.): 0.000
Formation enthalpy at 0 K (kJ/mol of atoms): -40

a b c (Å): 11.960 9.082 6.965
angles (deg): 90.00 90.00 90.00
Positions (direct):
1 Cs 0.168 0.142 0.250
2 Cs 0.168 0.858 0.750
3 Cs 0.332 0.358 0.750
4 Cs 0.332 0.642 0.250
5 Cs 0.668 0.358 0.750
6 Cs 0.668 0.642 0.250
7 Cs 0.832 0.142 0.250
8 Cs 0.832 0.858 0.750
9 Li 0.000 0.500 0.000
10 Li 0.000 0.500 0.500
11 Li 0.500 0.000 0.000
12 Li 0.500 0.000 0.500
13 Bi 0.000 0.260 0.750
14 Bi 0.000 0.740 0.250
15 Bi 0.500 0.240 0.250
16 Bi 0.500 0.760 0.750

=====

6.
Entry from Alexandria: crystalline Ta2InCu at its relaxed geometry (PBE).

Results
Raw total energy (eV/f.u.): -29.91
Formation enthalpy at 0 K (kJ/mol of atoms): 15

a b c (Å): 3.902 4.043 4.426
angles (deg): 90.00 90.00 90.00
Positions (direct):
1 Ta 0.000 0.000 0.000
2 Ta 0.500 0.500 0.000
3 In 0.000 0.500 0.500
4 Cu 0.500 0.000 0.500